Computed, not measured: a geometry-optimized Ce6GePt2 structure at the GGA-PBE level of DFT.

**DOS at the Fermi energy**: 22.15 states/eV/f.u.
**Calculated formation energy**: -620 meV/atom
**M_tot**: 6.4 μB/cell
**Final energy**: -6.432 eV per atom
**Volume**: 24.3 A^3/atom

Unit cell a=10.322 b=4.744 c=8.955 alpha=90.00 beta=93.97 gamma=90.00
Space group C2/m (No. 12)
One atom of each set of equivalent atoms:
Ce 0.066 0.000 0.341 x4
Ce 0.096 0.500 0.677 x4
Ce 0.195 0.500 0.075 x4
Ge 0.000 0.000 0.000 x2
Pt 0.241 0.500 0.390 x4


Computed, not measured: a geometry-optimized Pr5Si3N9 structure at the GGA-PBE level of DFT.

**DOS at the Fermi energy**: 0.00 states/eV/f.u.
**M_tot**: 0.0 μB/cell
**Final energy**: -8.051 eV per atom
**Volume**: 14.2 A^3/atom

Unit cell a=10.648 b=11.368 c=16.005 alpha=90.00 beta=90.00 gamma=90.00
Space group Cmce (No. 64)
One atom of each set of equivalent atoms:
Pr 0.000 0.007 0.112 x8
Pr 0.000 0.012 0.665 x8
Pr 0.207 0.000 0.500 x8
Pr 0.208 0.241 0.869 x16
Si 0.000 0.227 0.225 x8
Si 0.000 0.240 0.017 x8
Si 0.250 0.037 0.250 x8
N 0.000 0.136 0.452 x8
N 0.000 0.158 0.796 x8
N 0.000 0.224 0.623 x8
N 0.125 0.134 0.241 x16
N 0.132 0.147 0.001 x16
N 0.237 0.035 0.654 x16


Computed, not measured: a geometry-optimized PtPbAu2 structure at the GGA-PBE level of DFT.

**DOS at the Fermi energy**: 1.18 states/eV/f.u.
**Calculated formation energy**: 51 meV/atom
**M_tot**: 0.0 μB/cell
**Final energy**: -4.025 eV per atom
**Volume**: 19.9 A^3/atom

Unit cell a=10.195 b=3.363 c=4.912 alpha=90.00 beta=108.76 gamma=90.00
Space group Cm (No. 8)
One atom of each set of equivalent atoms:
Pt 0.000 0.000 0.000 x2
Pb 0.257 0.000 0.860 x2
Au 0.216 0.500 0.344 x2
Au 0.466 0.000 0.488 x2


Computed, not measured: a geometry-optimized LiTlAgCl4 structure at the GGA-PBE level of DFT.

**DOS at the Fermi energy**: 2.85 states/eV/f.u.
**M_tot**: 0.0 μB/cell
**Final energy**: -2.960 eV per atom
**Volume**: 25.2 A^3/atom

Unit cell a=6.590 b=7.130 c=7.513 alpha=90.00 beta=90.70 gamma=90.00
Space group P2_1/m (No. 11)
One atom of each set of equivalent atoms:
Li 0.197 0.250 0.355 x2
Tl 0.281 0.250 0.930 x2
Ag 0.300 0.750 0.557 x2
Cl 0.027 0.250 0.622 x2
Cl 0.082 0.750 0.842 x2
Cl 0.435 0.006 0.278 x4


Computed, not measured: a geometry-optimized Zr4BiPb structure at the GGA-PBE level of DFT.

**DOS at the Fermi energy**: 6.79 states/eV/f.u.
**Calculated formation energy**: 104 meV/atom
**M_tot**: 0.0 μB/cell
**Final energy**: -6.860 eV per atom
**Volume**: 24.9 A^3/atom

Unit cell a=9.895 b=3.153 c=10.661 alpha=90.00 beta=116.28 gamma=90.00
Space group C2/m (No. 12)
One atom of each set of equivalent atoms:
Zr 0.149 0.000 0.334 x4
Zr 0.150 0.500 0.833 x4
Bi 0.000 0.000 0.000 x2
Pb 0.000 0.500 0.500 x2


Computed, not measured: a geometry-optimized Zn2NiMo structure at the GGA-PBE level of DFT.

**DOS at the Fermi energy**: 3.61 states/eV/f.u.
**Calculated formation energy**: 99 meV/atom
**M_tot**: 0.9 μB/cell
**Final energy**: -4.691 eV per atom
**Volume**: 13.9 A^3/atom

Unit cell a=5.243 b=8.605 c=2.564 alpha=90.00 beta=106.09 gamma=90.00
Space group C2/m (No. 12)
One atom of each set of equivalent atoms:
Zn 0.250 0.250 0.000 x4
Ni 0.000 0.000 0.500 x2
Mo 0.000 0.500 0.500 x2


Computed, not measured: a geometry-optimized LiNiSb2 structure at the GGA-PBE level of DFT.

**DOS at the Fermi energy**: 1.67 states/eV/f.u.
**M_tot**: 0.0 μB/cell
**Final energy**: -4.114 eV per atom
**Volume**: 19.7 A^3/atom

Unit cell a=3.196 b=3.196 c=7.700 alpha=90.00 beta=90.00 gamma=90.00
Space group P4/mmm (No. 123)
One atom of each set of equivalent atoms:
Li 0.000 0.000 0.000 x1
Ni 0.000 0.000 0.500 x1
Sb 0.500 0.500 0.280 x2


Computed, not measured: a geometry-optimized LiCa2Al5Pd2 structure at the GGA-PBE level of DFT.

**DOS at the Fermi energy**: 3.54 states/eV/f.u.
**Calculated formation energy**: -495 meV/atom
**M_tot**: 0.0 μB/cell
**Final energy**: -3.996 eV per atom
**Volume**: 19.3 A^3/atom

Unit cell a=9.788 b=9.788 c=4.034 alpha=90.00 beta=90.00 gamma=90.00
Space group P4/mbm (No. 127)
One atom of each set of equivalent atoms:
Li 0.000 0.000 0.000 x2
Ca 0.182 0.318 0.000 x4
Al 0.000 0.500 0.500 x2
Al 0.058 0.792 0.500 x8
Pd 0.115 0.615 0.000 x4


Computed, not measured: a geometry-optimized BaLa2O4 structure at the GGA-PBE level of DFT.

**DOS at the Fermi energy**: 0.00 states/eV/f.u.
**M_tot**: 0.0 μB/cell
**Final energy**: -7.660 eV per atom
**Volume**: 18.7 A^3/atom

Unit cell a=3.657 b=12.089 c=11.848 alpha=90.00 beta=90.00 gamma=90.00
Space group Cmcm (No. 63)
One atom of each set of equivalent atoms:
Ba 0.000 0.112 0.250 x4
La 0.000 0.367 0.072 x8
O 0.000 0.000 0.000 x4
O 0.000 0.262 0.605 x8
O 0.000 0.455 0.250 x4


Computed, not measured: a geometry-optimized BeMo2Rh structure at the GGA-PBE level of DFT.

**DOS at the Fermi energy**: 3.10 states/eV/f.u.
**Calculated formation energy**: 59 meV/atom
**M_tot**: 0.0 μB/cell
**Final energy**: -8.126 eV per atom
**Volume**: 14.0 A^3/atom

Unit cell a=6.074 b=6.074 c=6.074 alpha=90.00 beta=90.00 gamma=90.00
Space group F-43m (No. 216)
One atom of each set of equivalent atoms:
Be 0.000 0.000 0.000 x4
Mo 0.000 0.000 0.500 x4
Mo 0.250 0.250 0.750 x4
Rh 0.250 0.250 0.250 x4


Computed, not measured: a geometry-optimized Na2NdTiF8 structure at the GGA-PBE level of DFT.

**DOS at the Fermi energy**: 6.43 states/eV/f.u.
**M_tot**: 1.0 μB/cell
**Final energy**: -5.861 eV per atom
**Volume**: 13.2 A^3/atom

Unit cell a=3.797 b=7.499 c=5.543 alpha=90.00 beta=90.91 gamma=90.00
Space group P2/m (No. 10)
One atom of each set of equivalent atoms:
Na 0.000 0.228 0.000 x2
Nd 0.500 0.500 0.500 x1
Ti 0.500 0.000 0.500 x1
F 0.003 0.500 0.748 x2
F 0.014 0.000 0.291 x2
F 0.491 0.226 0.725 x4


Computed, not measured: a geometry-optimized Pd2RhPb4 structure at the GGA-PBE level of DFT.

**DOS at the Fermi energy**: 3.41 states/eV/f.u.
**Calculated formation energy**: -142 meV/atom
**M_tot**: 0.0 μB/cell
**Final energy**: -4.795 eV per atom
**Volume**: 23.8 A^3/atom

Unit cell a=7.890 b=12.932 c=7.622 alpha=90.00 beta=120.96 gamma=90.00
Space group Cc (No. 9)
One atom of each set of equivalent atoms:
Pd 0.000 0.114 0.000 x4
Pd 0.484 0.119 0.004 x4
Rh 0.058 0.125 0.627 x4
Pb 0.189 0.475 0.905 x4
Pb 0.210 0.035 0.411 x4
Pb 0.328 0.241 0.195 x4
Pb 0.348 0.276 0.713 x4


Computed, not measured: a geometry-optimized CaZn5Ga7 structure at the GGA-PBE level of DFT.

**DOS at the Fermi energy**: 2.83 states/eV/f.u.
**Calculated formation energy**: -96 meV/atom
**M_tot**: 0.0 μB/cell
**Final energy**: -2.370 eV per atom
**Volume**: 18.0 A^3/atom

Unit cell a=5.262 b=9.584 c=9.290 alpha=90.00 beta=90.00 gamma=90.00
Space group Imm2 (No. 44)
One atom of each set of equivalent atoms:
Ca 0.000 0.000 0.000 x2
Zn 0.000 0.500 0.719 x2
Zn 0.250 0.246 0.251 x8
Ga 0.000 0.000 0.352 x2
Ga 0.000 0.000 0.646 x2
Ga 0.000 0.297 0.502 x4
Ga 0.000 0.352 0.001 x4
Ga 0.000 0.500 0.286 x2


Computed, not measured: a geometry-optimized YUS2 structure at the GGA-PBE level of DFT.

**DOS at the Fermi energy**: 2.42 states/eV/f.u.
**M_tot**: 9.2 μB/cell
**Final energy**: -8.086 eV per atom
**Volume**: 21.3 A^3/atom

Unit cell a=3.7545 b=3.7545 c=20.9805 alpha=90.00 beta=90.00 gamma=120.00
Space group R3m (No. 160, hexagonal axes)
One atom of each set of equivalent atoms:
Y 0.0000 0.0000 0.0000 x3
U 0.0000 0.0000 0.1760 x3
S 0.0000 0.0000 0.4192 x3
S 0.0000 0.0000 0.5903 x3


Computed, not measured: a geometry-optimized RbSr2LaP structure at the GGA-PBE level of DFT.

**DOS at the Fermi energy**: 7.07 states/eV/f.u.
**Calculated formation energy**: -304 meV/atom
**M_tot**: 0.0 μB/cell
**Final energy**: -3.238 eV per atom
**Volume**: 45.6 A^3/atom

Unit cell a=6.262 b=6.262 c=5.821 alpha=90.00 beta=90.00 gamma=90.00
Space group P4/mmm (No. 123)
One atom of each set of equivalent atoms:
Rb 0.000 0.000 0.000 x1
Sr 0.000 0.500 0.500 x2
La 0.500 0.500 0.000 x1
P 0.500 0.500 0.500 x1


Computed, not measured: a geometry-optimized LiPm4Zn2 structure at the GGA-PBE level of DFT.

**DOS at the Fermi energy**: 10.06 states/eV/f.u.
**Calculated formation energy**: -63 meV/atom
**M_tot**: 0.0 μB/cell
**Final energy**: -3.415 eV per atom
**Volume**: 27.3 A^3/atom

Unit cell a=5.1583 b=5.1583 c=24.8615 alpha=90.00 beta=90.00 gamma=120.00
Space group R-3m (No. 166, hexagonal axes)
One atom of each set of equivalent atoms:
Li 0.0000 0.0000 0.0000 x3
Pm 0.0000 0.0000 0.1308 x6
Pm 0.0000 0.0000 0.3828 x6
Zn 0.0000 0.0000 0.2564 x6


Computed, not measured: a geometry-optimized Er5TmTl5 structure at the GGA-PBE level of DFT.

**DOS at the Fermi energy**: 9.83 states/eV/f.u.
**Calculated formation energy**: -77 meV/atom
**M_tot**: 0.0 μB/cell
**Final energy**: -3.633 eV per atom
**Volume**: 29.5 A^3/atom

Unit cell a=16.160 b=5.780 c=7.056 alpha=90.00 beta=99.77 gamma=90.00
Space group C2/m (No. 12)
One atom of each set of equivalent atoms:
Er 0.000 0.000 0.000 x2
Er 0.134 0.500 0.906 x4
Er 0.174 0.500 0.416 x4
Tm 0.000 0.000 0.500 x2
Tl 0.000 0.500 0.500 x2
Tl 0.170 0.000 0.771 x4
Tl 0.176 0.000 0.227 x4


Computed, not measured: a geometry-optimized NdIn5 structure at the GGA-PBE level of DFT.

**DOS at the Fermi energy**: 2.77 states/eV/f.u.
**Calculated formation energy**: -241 meV/atom
**M_tot**: 0.0 μB/cell
**Final energy**: -3.318 eV per atom
**Volume**: 26.4 A^3/atom

Unit cell a=4.734 b=13.828 c=4.846 alpha=90.00 beta=90.00 gamma=90.00
Space group Cmmm (No. 65)
One atom of each set of equivalent atoms:
Nd 0.000 0.000 0.000 x2
In 0.000 0.170 0.500 x4
In 0.000 0.327 0.000 x4
In 0.000 0.500 0.500 x2


Computed, not measured: a geometry-optimized Cr3TeH structure at the GGA-PBE level of DFT.

**DOS at the Fermi energy**: 4.00 states/eV/f.u.
**M_tot**: 5.0 μB/cell
**Final energy**: -6.786 eV per atom
**Volume**: 11.8 A^3/atom

Unit cell a=3.897 b=3.897 c=3.897 alpha=90.00 beta=90.00 gamma=90.00
Space group Pm-3m (No. 221)
One atom of each set of equivalent atoms:
Cr 0.000 0.000 0.500 x3
Te 0.500 0.500 0.500 x1
H 0.000 0.000 0.000 x1


Computed, not measured: a geometry-optimized LaSm4Cd structure at the GGA-PBE level of DFT.

**DOS at the Fermi energy**: 8.03 states/eV/f.u.
**Calculated formation energy**: -50 meV/atom
**M_tot**: 0.0 μB/cell
**Final energy**: -4.170 eV per atom
**Volume**: 31.8 A^3/atom

Unit cell a=4.974 b=15.179 c=10.111 alpha=90.00 beta=90.00 gamma=90.00
Space group Cmc2_1 (No. 36)
One atom of each set of equivalent atoms:
La 0.000 0.170 0.000 x4
Sm 0.000 0.003 0.748 x4
Sm 0.000 0.167 0.493 x4
Sm 0.000 0.330 0.746 x4
Sm 0.000 0.496 0.999 x4
Cd 0.000 0.336 0.246 x4


Computed, not measured: a geometry-optimized TlRuS2 structure at the GGA-PBE level of DFT.

**DOS at the Fermi energy**: 4.24 states/eV/f.u.
**M_tot**: 0.0 μB/cell
**Final energy**: -5.176 eV per atom
**Volume**: 22.8 A^3/atom

Unit cell a=3.5572 b=3.5572 c=24.9402 alpha=90.00 beta=90.00 gamma=120.00
Space group R-3m (No. 166, hexagonal axes)
One atom of each set of equivalent atoms:
Tl 0.0000 0.0000 0.0000 x3
Ru 0.0000 0.0000 0.5000 x3
S 0.0000 0.0000 0.1185 x6